#one
First-principles (GGA-PBE) data for crystalline BaPWS2 at its relaxed geometry, as listed in the Alexandria database.

Unit cell a=5.6517 b=5.6517 c=5.7789 alpha=90.00 beta=90.00 gamma=90.00
Element x y z (fractional)
S (0.0000, 0.5000, 0.0000)
S (0.5000, 0.0000, 0.0000)
Ba (0.0000, 0.0000, 0.0000)
P (0.0000, 0.0000, 0.5000)
W (0.5000, 0.5000, 0.5000)

As for the space group: P4/mmm, No. 123. The magnetic moment is 2.02 μB per formula unit.

---

#two
First-principles (GGA-PBE) data for crystalline BaPWS2 at its relaxed geometry, as listed in the Alexandria database.

Unit cell a=4.8386 b=4.8386 c=4.7928 alpha=90.00 beta=90.00 gamma=90.00
Element x y z (fractional)
S (0.0000, 0.5000, 0.0000)
S (0.5000, 0.0000, 0.0000)
Ba (0.5000, 0.5000, 0.5000)
P (0.0000, 0.0000, 0.5000)
W (0.0000, 0.0000, 0.0000)

As for the space group: P4/mmm, No. 123. The magnetic moment is 0.00 μB per formula unit.

---

Stability summary - winner: #two; margin: 2617 meV/atom.

---

#one
First-principles (GGA-PBE) data for crystalline BaSb2P2 at its relaxed geometry, as listed in the Alexandria database.

Unit cell a=4.5338 b=4.5338 c=7.3635 alpha=72.07 beta=72.07 gamma=90.00
Element x y z (fractional)
Sb (0.2500, 0.7500, 0.5000)
Sb (0.7500, 0.2500, 0.5000)
Ba (0.0000, 0.0000, 0.0000)
P (0.4204, 0.4204, 0.1591)
P (0.5796, 0.5796, 0.8409)

As for the space group: I4/mmm, No. 139. The magnetic moment is 0.00 μB per formula unit.

---

#two
First-principles (GGA-PBE) data for crystalline BaSb2P2 at its relaxed geometry, as listed in the Alexandria database.

Unit cell a=8.9312 b=8.9312 c=3.7944 alpha=90.00 beta=90.00 gamma=90.00
Element x y z (fractional)
Ba (0.5000, 0.5000, 0.0000)
Ba (0.0000, 0.0000, 0.0000)
P (0.8138, 0.6862, 0.0000)
P (0.3138, 0.8138, 0.0000)
P (0.1862, 0.3138, 0.0000)
P (0.6862, 0.1862, 0.0000)
Sb (0.8232, 0.3232, 0.5000)
Sb (0.1768, 0.6768, 0.5000)
Sb (0.6768, 0.8232, 0.5000)
Sb (0.3232, 0.1768, 0.5000)

As for the space group: P4/mbm, No. 127. The magnetic moment is 0.00 μB per formula unit.

---

#three
First-principles (GGA-PBE) data for crystalline BaSb2P2 at its relaxed geometry, as listed in the Alexandria database.

Unit cell a=5.2352 b=5.2352 c=6.4934 alpha=66.23 beta=66.23 gamma=90.00
Element x y z (fractional)
Ba (0.0000, 0.0000, 0.0000)
Sb (0.3272, 0.3272, 0.3456)
Sb (0.6728, 0.6728, 0.6544)
P (0.7500, 0.2500, 0.5000)
P (0.2500, 0.7500, 0.5000)

As for the space group: I4/mmm, No. 139. The magnetic moment is 0.00 μB per formula unit.

---

Stability summary - winner: #one; margin: 9 meV/atom.

---

#one
First-principles (GGA-PBE) data for crystalline Ba3SbP at its relaxed geometry, as listed in the Alexandria database.

Unit cell a=6.1067 b=6.1067 c=6.1067 alpha=90.00 beta=90.00 gamma=90.00
Element x y z (fractional)
Sb (0.5000, 0.5000, 0.5000)
Ba (0.0000, 0.0000, 0.5000)
Ba (0.5000, 0.0000, 0.0000)
Ba (0.0000, 0.5000, 0.0000)
P (0.0000, 0.0000, 0.0000)

As for the space group: Pm-3m, No. 221. The magnetic moment is 0.00 μB per formula unit.

---

#two
First-principles (GGA-PBE) data for crystalline Ba3SbP at its relaxed geometry, as listed in the Alexandria database.

Unit cell a=4.7120 b=9.8564 c=9.8586 alpha=69.10 beta=89.99 gamma=89.99
Element x y z (fractional)
Ba (0.3633, 0.3503, 0.4026)
Ba (0.3634, 0.0381, 0.0903)
Ba (0.8624, 0.7649, 0.4378)
Ba (0.8640, 0.0026, 0.6760)
Ba (0.8626, 0.6234, 0.0550)
Ba (0.8638, 0.3857, 0.8169)
Sb (0.8634, 0.1941, 0.2465)
Sb (0.3632, 0.6941, 0.7464)
P (0.3624, 0.6942, 0.2464)
P (0.3639, 0.1941, 0.7465)

As for the space group: Cmmm, No. 65. The magnetic moment is 0.00 μB per formula unit.

---

#three
First-principles (GGA-PBE) data for crystalline Ba3SbP at its relaxed geometry, as listed in the Alexandria database.

Unit cell a=9.5229 b=8.9891 c=9.7402 alpha=90.00 beta=80.33 gamma=90.00
Element x y z (fractional)
Sb (0.2652, 0.9345, 0.0913)
Sb (0.2348, 0.4345, 0.9087)
Sb (0.7348, 0.0655, 0.9087)
Sb (0.7652, 0.5655, 0.0913)
Ba (0.9838, 0.2055, 0.1281)
Ba (0.7187, 0.4945, 0.4501)
Ba (0.4236, 0.1140, 0.7601)
Ba (0.9236, 0.3860, 0.7601)
Ba (0.4838, 0.2945, 0.1281)
Ba (0.7813, 0.9945, 0.5499)
Ba (0.2813, 0.5055, 0.5499)
Ba (0.5162, 0.7055, 0.8719)
Ba (0.0162, 0.7945, 0.8719)
Ba (0.0764, 0.6140, 0.2399)
Ba (0.2187, 0.0055, 0.4501)
Ba (0.5764, 0.8860, 0.2399)
P (0.0092, 0.2828, 0.4383)
P (0.9908, 0.7172, 0.5617)
P (0.4908, 0.7828, 0.5617)
P (0.5092, 0.2172, 0.4383)

As for the space group: P2_1/c, No. 14. The magnetic moment is 0.00 μB per formula unit.

---

Stability summary - winner: #three; margin: 40 meV/atom.

---

#one
First-principles (GGA-PBE) data for crystalline Ba2SbP2 at its relaxed geometry, as listed in the Alexandria database.

Unit cell a=3.8963 b=3.8963 c=10.3267 alpha=79.13 beta=79.13 gamma=90.00
Element x y z (fractional)
P (0.7500, 0.2500, 0.5000)
P (0.2500, 0.7500, 0.5000)
Ba (0.3807, 0.3807, 0.2387)
Ba (0.6193, 0.6193, 0.7613)
Sb (0.0000, 0.0000, 0.0000)

As for the space group: I4/mmm, No. 139. The magnetic moment is 0.00 μB per formula unit.

---

#two
First-principles (GGA-PBE) data for crystalline Ba2SbP2 at its relaxed geometry, as listed in the Alexandria database.

Unit cell a=8.0233 b=8.0233 c=4.6328 alpha=90.00 beta=90.00 gamma=90.00
Element x y z (fractional)
P (0.3412, 0.8412, 0.0000)
P (0.1588, 0.3412, 0.0000)
P (0.8412, 0.6588, 0.0000)
P (0.6588, 0.1588, 0.0000)
Sb (0.0000, 0.0000, 0.0000)
Sb (0.5000, 0.5000, 0.0000)
Ba (0.6547, 0.8453, 0.5000)
Ba (0.8453, 0.3453, 0.5000)
Ba (0.3453, 0.1547, 0.5000)
Ba (0.1547, 0.6547, 0.5000)

As for the space group: P4/mbm, No. 127. The magnetic moment is 0.29 μB per formula unit.

---

Stability summary - winner: #two; margin: 97 meV/atom.